Li12Zn3Au PBE relaxed; D(E_F) = 0.333 states/eV/atom; formation enthalpy at 0 K = -3.62 kcal/mol of atoms; E_tot = -2.036 eV/atom; space group = P4/mmm (123)
1.0
4.050 0.000 0.000
0.000 4.050 0.000
0.000 0.000 15.988
Li Zn Au
12 3 1
Direct
0.000 0.000 0.000
0.000 0.000 0.249
0.000 0.000 0.500
0.000 0.000 0.751
0.000 0.500 0.121
0.000 0.500 0.375
0.000 0.500 0.625
0.000 0.500 0.879
0.500 0.000 0.121
0.500 0.000 0.375
0.500 0.000 0.625
0.500 0.000 0.879
0.500 0.500 0.250
0.500 0.500 0.500
0.500 0.500 0.750
0.500 0.500 0.000

=====

Li3Zn8Au2 PBE relaxed; D(E_F) = 0.180 states/eV/atom; formation enthalpy at 0 K = -3.63 kcal/mol of atoms; E_tot = -1.887 eV/atom; space group = R-3m (166)
1.0
2.490 1.437 9.968
-2.490 1.437 9.968
0.000 -2.875 9.968
Li Zn Au
3 8 2
Direct
0.000 0.000 0.000
0.183 0.183 0.183
0.817 0.817 0.817
0.230 0.732 0.732
0.268 0.268 0.770
0.268 0.770 0.268
0.272 0.272 0.272
0.728 0.728 0.728
0.732 0.230 0.732
0.732 0.732 0.230
0.770 0.268 0.268
0.357 0.357 0.357
0.643 0.643 0.643

=====

Li3Zn9Au2 PBE relaxed; D(E_F) = 0.215 states/eV/atom; formation enthalpy at 0 K = -4.04 kcal/mol of atoms; E_tot = -1.872 eV/atom; space group = Immm (71)
1.0
-2.122 5.108 5.286
2.122 -5.108 5.286
2.122 5.108 -5.286
Li Zn Au
3 9 2
Direct
0.000 0.000 0.000
0.278 0.278 0.000
0.722 0.722 0.000
0.009 0.629 0.380
0.115 0.849 0.266
0.249 0.629 0.620
0.417 0.151 0.266
0.500 0.000 0.500
0.583 0.849 0.734
0.751 0.371 0.380
0.885 0.151 0.734
0.991 0.371 0.620
0.350 0.500 0.850
0.650 0.500 0.150